Compound: CuRuI2N
Source: Alexandria
Functional: PBE
Structure: relaxed

abc: 5.3778 5.3778 3.5420
angles: 90.00 90.00 90.00
Space group P4/mmm (No. 123)
Symmetry-distinct sites (fractional):
Cu  0.0000  0.0000  0.0000 x1
Ru  0.5000  0.5000  0.5000 x1
I  0.0000  0.5000  0.0000 x2
N  0.0000  0.0000  0.5000 x1

Output
The calculation puts the energy above the most stable polymorph in this dataset at 753 meV per atom. The formation energy (no corrections) comes out at 1324 meV per atom.

***

Compound: CePmBr6
Source: Alexandria
Functional: PBE
Structure: relaxed

abc: 7.2389 13.1321 7.2345
angles: 90.00 106.32 90.00
Space group C2/m (No. 12)
Symmetry-distinct sites (fractional):
Ce  0.0000  0.0000  0.0000 x2
Pm  0.0000  0.5000  0.5000 x2
Br  0.2452  0.3516  0.7483 x8
Br  0.2487  0.0000  0.7456 x4

Output
The calculation puts the energy above the most stable polymorph in this dataset at 0 meV per atom. The formation energy (no corrections) comes out at -1811 meV per atom.

***

Compound: YTiCu2Os
Source: Alexandria
Functional: PBE
Structure: relaxed

abc: 4.7171 4.7171 4.9582
angles: 90.00 90.00 90.00
Space group P4/mmm (No. 123)
Symmetry-distinct sites (fractional):
Y  0.0000  0.0000  0.0000 x1
Ti  0.5000  0.5000  0.5000 x1
Cu  0.0000  0.5000  0.0000 x2
Os  0.0000  0.0000  0.5000 x1

Output
The calculation puts the formation energy at 1.684 eV per atom.

***

Compound: KRb2PSe4
Source: Alexandria
Functional: PBE
Structure: relaxed

abc: 12.9113 12.6451 9.2518
angles: 90.00 126.14 90.00
Space group C2/c (No. 15)
Symmetry-distinct sites (fractional):
K  0.0000  0.0000  0.0000 x4
Rb  0.0000  0.5000  0.0000 x4
Rb  0.2500  0.2500  0.0000 x4
P  0.2500  0.2500  0.5000 x4
Se  0.0969  0.2468  0.5604 x8
Se  0.2376  0.0651  0.4752 x8

Output
The formation energy (no corrections) comes out at -441 meV per atom.

***

Compound: TbDy3Ho2P6
Source: Alexandria
Functional: PBE
Structure: relaxed

abc: 6.9353 12.0103 6.9348
angles: 90.00 109.45 90.00
Space group C2/m (No. 12)
Symmetry-distinct sites (fractional):
Tb  0.0000  0.0000  0.0000 x2
Dy  0.0000  0.1664  0.5000 x4
Dy  0.0000  0.5000  0.5000 x2
Ho  0.0000  0.3333  0.0000 x4
P  0.2485  0.5000  0.2495 x4
P  0.2494  0.3327  0.7504 x8

Output
The calculation puts the formation energy at -1.614 eV per atom.

***

Compound: CaY2Hg3
Source: Alexandria
Functional: PBE
Structure: relaxed

abc: 3.7335 3.7335 11.3286
angles: 90.00 90.00 90.00
Space group P4/mmm (No. 123)
Symmetry-distinct sites (fractional):
Ca  0.0000  0.0000  0.0000 x1
Y  0.0000  0.0000  0.3359 x2
Hg  0.5000  0.5000  0.1763 x2
Hg  0.5000  0.5000  0.5000 x1

Output
The calculation puts the formation energy at -0.535 eV per atom.

***

Compound: Be2PtW
Source: Alexandria
Functional: PBE
Structure: relaxed

abc: 2.7680 2.7680 6.1902
angles: 90.00 90.00 90.00
Space group P4mm (No. 99)
Symmetry-distinct sites (fractional):
Be  0.0000  0.0000  0.0000 x1
Be  0.5000  0.5000  0.1737 x1
Pt  0.0000  0.0000  0.4013 x1
W  0.5000  0.5000  0.7375 x1

Output
The calculation puts the formation energy at -0.258 eV per atom. The calculation puts the energy above the most stable polymorph in this dataset at 34 meV per atom.

***

Compound: NdGe4Ir4
Source: Alexandria
Functional: PBE
Structure: relaxed

abc: 8.4114 8.4114 4.7706
angles: 90.00 90.00 90.00
Space group I4/m (No. 87)
Symmetry-distinct sites (fractional):
Nd  0.0000  0.0000  0.0000 x2
Ge  0.1539  0.2923  0.5000 x8
Ir  0.1008  0.3653  0.0000 x8

Output
The calculation puts the formation energy at -0.324 eV per atom.

***

Number 1: calculated volume 102.4 Å³ per cell. Number 2: calculated volume 660.0 Å³ per cell. Number 3: calculated volume 110.3 Å³ per cell. Number 4: calculated volume 1219.9 Å³ per cell. Number 5: calculated volume 544.7 Å³ per cell. Number 6: calculated volume 157.9 Å³ per cell. Number 7: calculated volume 47.4 Å³ per cell. Number 8: calculated volume 337.5 Å³ per cell.